# Hf3HgO

A relaxed structure of Hf3HgO (PBE, the Alexandria database).

Geometry as POSCAR:
```
Hf3HgO
1.0
-3.582 -1.315 2.279
0.251 -4.003 -1.915
2.619 -1.415 3.301
Hg Hf O
1 3 1
direct
0.500 0.500 0.500 Hg
0.000 0.500 0.000 Hf
0.000 0.000 0.500 Hf
0.500 0.000 0.000 Hf
0.000 0.000 0.000 O
```

The calculated volume comes out at 87.81 Å³/cell. As for the offset from the most stable computed form: 0.000 eV per formula unit. As for the space-group type: Pm-3m. The energy relative to the elements, uncorrected comes out at -442 kJ/mol of formula units.

---

# Na2ZnBr4

A relaxed structure of Na2ZnBr4 (PBE, the Alexandria database).

Geometry as POSCAR:
```
Na2ZnBr4
1.0
-5.291 0.642 0.243
-0.347 -0.878 -5.251
-3.631 -7.279 -1.254
Br Na Zn
4 2 1
direct
0.000 0.500 0.000 Br
0.827 0.827 0.346 Br
0.173 0.173 0.654 Br
0.500 0.000 0.000 Br
0.369 0.369 0.262 Na
0.631 0.631 0.738 Na
0.000 0.000 0.000 Zn
```

The calculated volume comes out at 208.22 Å³/cell. As for the offset from the most stable computed form: 1.223 eV per formula unit. As for the space-group type: I4/mmm. The energy relative to the elements, uncorrected comes out at -750 kJ/mol of formula units.

---

# Ho5Mg2Al

A relaxed structure of Ho5Mg2Al (PBE, the Alexandria database).

Geometry as POSCAR:
```
Ho5Mg2Al
1.0
7.772 0.000 0.000
0.000 7.772 0.000
-3.886 -3.886 7.463
Ho Mg Al
10 4 2
direct
0.324 0.824 0.321 Ho
0.000 0.000 0.000 Ho
0.176 0.002 0.679 Ho
0.824 0.998 0.321 Ho
0.498 0.324 0.321 Ho
0.500 0.500 0.000 Ho
0.502 0.676 0.679 Ho
0.676 0.176 0.679 Ho
0.998 0.498 0.321 Ho
0.002 0.502 0.679 Ho
0.872 0.628 0.000 Mg
0.128 0.372 0.000 Mg
0.372 0.872 0.000 Mg
0.628 0.128 0.000 Mg
0.750 0.750 0.500 Al
0.250 0.250 0.500 Al
```

The calculated volume comes out at 450.81 Å³/cell. As for the space-group type: I4/mcm. The formation energy is -0.0095 eV/atom.

---

# NiMoS2N

A relaxed structure of NiMoS2N (PBE, the Alexandria database).

Geometry as POSCAR:
```
NiMoS2N
1.0
-2.877 -1.223 3.628
3.821 -1.207 2.623
0.192 3.510 1.335
Ni Mo S N
1 1 2 1
direct
0.500 0.500 0.500 Ni
0.000 0.000 0.000 Mo
0.500 0.000 0.000 S
0.000 0.500 0.000 S
0.000 0.000 0.500 N
```

The calculated volume comes out at 86.24 Å³/cell. As for the offset from the most stable computed form: 0.000 eV per formula unit. As for the space-group type: P4/mmm. The energy relative to the elements, uncorrected comes out at 260 kJ/mol of formula units.

---

# CaMnIr

A relaxed structure of CaMnIr (PBE, the Alexandria database).

Geometry as POSCAR:
```
CaMnIr
1.0
0.000 3.020 3.020
3.020 0.000 3.020
3.020 3.020 0.000
Ir Ca Mn
1 1 1
direct
0.250 0.250 0.250 Ir
0.750 0.750 0.750 Ca
0.000 0.000 0.000 Mn
```

The calculated volume comes out at 55.07 Å³/cell. As for the offset from the most stable computed form: 2.396 eV per formula unit. As for the space-group type: F-43m. The formation energy is 0.5940 eV/atom.

---

# MoWC3

A relaxed structure of MoWC3 (PBE, the Alexandria database).

Geometry as POSCAR:
```
MoWC3
1.0
-2.729 2.893 0.217
-1.056 -1.267 3.625
2.702 2.426 1.635
W Mo C
1 1 3
direct
0.500 0.500 0.500 W
0.000 0.000 0.000 Mo
0.000 0.000 0.500 C
0.500 0.000 0.000 C
0.000 0.500 0.000 C
```

The calculated volume comes out at 63.18 Å³/cell. As for the offset from the most stable computed form: 1.615 eV per formula unit. As for the space-group type: Pm-3m. The formation energy is 2.3568 eV/atom.

---

# GdScNiSn

A relaxed structure of GdScNiSn (PBE, the Alexandria database).

Geometry as POSCAR:
```
GdScNiSn
1.0
-0.287 -4.856 -1.072
2.195 -3.341 2.973
-2.774 -3.016 2.832
Ni Sc Sn Gd
1 1 1 1
direct
0.750 0.750 0.750 Ni
0.500 0.500 0.500 Sc
0.250 0.250 0.250 Sn
0.000 0.000 0.000 Gd
```

The calculated volume comes out at 87.40 Å³/cell. As for the space-group type: F-43m. The formation energy is -0.4265 eV/atom.

---

# CsGaAg2Pt

A relaxed structure of CsGaAg2Pt (PBE, the Alexandria database).

Geometry as POSCAR:
```
CsGaAg2Pt
1.0
5.443 0.000 0.000
0.000 5.443 0.000
0.000 0.000 4.828
Ga Ag Pt Cs
1 2 1 1
direct
0.000 0.000 0.500 Ga
0.500 0.000 0.000 Ag
0.000 0.500 0.000 Ag
0.000 0.000 0.000 Pt
0.500 0.500 0.500 Cs
```

The calculated volume comes out at 143.01 Å³/cell. As for the offset from the most stable computed form: 0.000 eV per formula unit. As for the space-group type: P4/mmm. The formation energy is -0.0505 eV/atom.

---

# La3DyCo

A relaxed structure of La3DyCo (PBE, the Alexandria database).

Geometry as POSCAR:
```
La3DyCo
1.0
6.309 -0.478 1.380
1.731 6.895 -0.477
-0.519 -1.195 7.005
Dy La Co
2 6 2
direct
0.752 0.972 0.972 Dy
0.248 0.028 0.028 Dy
0.253 0.116 0.554 La
0.787 0.381 0.381 La
0.213 0.619 0.619 La
0.747 0.884 0.446 La
0.747 0.446 0.884 La
0.253 0.554 0.116 La
0.428 0.267 0.267 Co
0.572 0.733 0.733 Co
```

The calculated volume comes out at 308.88 Å³/cell. As for the offset from the most stable computed form: 0.000 eV per formula unit. As for the space-group type: C2/m. The formation energy is 0.0117 eV/atom.

---

# CaP2PbS

A relaxed structure of CaP2PbS (PBE, the Alexandria database).

Geometry as POSCAR:
```
CaP2PbS
1.0
-4.197 -2.317 -2.450
2.942 -0.604 -4.468
1.629 -4.765 1.717
Ca P Pb S
1 2 1 1
direct
0.000 0.000 0.000 Ca
0.500 0.000 0.000 P
0.000 0.500 0.000 P
0.500 0.500 0.500 Pb
0.000 0.000 0.500 S
```

The calculated volume comes out at 154.22 Å³/cell. As for the offset from the most stable computed form: 0.701 eV per formula unit. As for the space-group type: P4/mmm. The energy relative to the elements, uncorrected comes out at 246 kJ/mol of formula units.